# 1
Here is ZrPb2Se after structural relaxation from the Alexandria database. Energies are from PBE.

a b c (Å): 6.058 6.058 6.058
angles (deg): 137.62 137.62 61.49
Positions (direct):
Zr (0.750, 0.250, 0.500)
Pb (0.000, 0.000, 0.000)
Pb (0.500, 0.500, 0.000)
Se (0.250, 0.750, 0.500)

Computed properties:
As for the total magnetic moment: 0.00 μB/atom. Its symmetry is I4/mmm, No. 139. The formation energy from raw total energies comes out at -0.115 eV/atom.

=====

# 2
Here is TeIr2Ru after structural relaxation from the Alexandria database. Energies are from PBE.

a b c (Å): 5.940 5.940 6.789
angles (deg): 64.06 64.06 90.00
Positions (direct):
Ir (0.875, 0.848, 0.750)
Ir (0.152, 0.625, 0.250)
Ir (0.375, 0.402, 0.750)
Ru (0.250, 0.750, 0.500)
Te (0.750, 0.250, 0.500)
Te (0.000, 0.000, 0.000)
Ru (0.500, 0.500, 0.000)
Ir (0.598, 0.125, 0.250)

Computed properties:
As for the total magnetic moment: 0.00 μB/atom. Its symmetry is I-42d, No. 122. The formation energy from raw total energies comes out at 0.757 eV/atom.

=====

# 3
Here is Y2MnOs2 after structural relaxation from the Alexandria database. Energies are from PBE.

a b c (Å): 6.447 6.447 4.674
angles (deg): 90.00 90.00 90.00
Positions (direct):
Os (0.364, 0.864, 0.000)
Os (0.864, 0.636, 0.000)
Mn (0.000, 0.000, 0.000)
Os (0.136, 0.364, 0.000)
Mn (0.500, 0.500, 0.000)
Y (0.679, 0.821, 0.500)
Y (0.321, 0.179, 0.500)
Os (0.636, 0.136, 0.000)
Y (0.179, 0.679, 0.500)
Y (0.821, 0.321, 0.500)

Computed properties:
As for the total magnetic moment: 0.00 μB/atom. Its symmetry is P4/mbm, No. 127. The value obtained for the energy relative to the elements is 38 meV/atom.

=====

# 4
Here is LiTh2Ir after structural relaxation from the Alexandria database. Energies are from PBE.

a b c (Å): 4.012 4.012 10.511
angles (deg): 79.00 79.00 60.00
Positions (direct):
Th (0.114, 0.114, 0.658)
Th (0.886, 0.886, 0.342)
Ir (0.500, 0.500, 0.500)
Li (0.000, 0.000, 0.000)

Computed properties:
As for the total magnetic moment: 0.00 μB/atom. Its symmetry is R-3m, No. 166. The value obtained for the energy relative to the elements is -147 meV/atom.

=====

# 5
Here is Pm12Al3N5 after structural relaxation from the Alexandria database. Energies are from PBE.

a b c (Å): 13.807 13.807 13.807
angles (deg): 109.47 109.47 109.47
Positions (direct):
N (0.250, 0.375, 0.625)
N (0.000, 0.500, 0.500)
Pm (0.613, 0.596, 0.912)
Pm (0.684, 0.483, 0.596)
Pm (0.316, 0.799, 0.412)
N (0.750, 0.125, 0.875)
Pm (0.412, 0.299, 0.316)
Pm (0.299, 0.887, 0.983)
Pm (0.596, 0.983, 0.684)
N (0.625, 0.750, 0.875)
N (0.750, 0.625, 0.375)
Al (0.375, 0.625, 0.250)
Pm (0.113, 0.412, 0.096)
Pm (0.517, 0.201, 0.113)
Pm (0.588, 0.701, 0.684)
Pm (0.904, 0.816, 0.517)
Pm (0.701, 0.588, 0.184)
Al (0.625, 0.250, 0.375)
Pm (0.588, 0.887, 0.404)
Pm (0.387, 0.983, 0.799)
Pm (0.201, 0.684, 0.088)
Pm (0.404, 0.387, 0.588)
N (0.500, 0.000, 0.000)
N (0.500, 0.500, 0.500)
Pm (0.816, 0.904, 0.017)
N (0.625, 0.875, 0.250)
Al (0.875, 0.125, 0.250)
Al (0.250, 0.125, 0.375)
Pm (0.483, 0.684, 0.096)
Pm (0.904, 0.088, 0.887)
N (0.375, 0.250, 0.125)
Pm (0.088, 0.904, 0.387)
Pm (0.799, 0.483, 0.387)
Al (0.750, 0.875, 0.625)
N (0.250, 0.875, 0.125)
Al (0.875, 0.750, 0.125)
Al (0.375, 0.750, 0.625)
Al (0.250, 0.625, 0.875)
Pm (0.184, 0.096, 0.983)
Pm (0.316, 0.517, 0.404)
Pm (0.799, 0.316, 0.912)
Pm (0.184, 0.088, 0.701)
N (0.125, 0.375, 0.250)
Pm (0.017, 0.613, 0.701)
Pm (0.201, 0.517, 0.613)
Pm (0.912, 0.096, 0.613)
N (0.500, 0.000, 0.500)
N (0.875, 0.625, 0.750)
Al (0.625, 0.375, 0.750)
Pm (0.096, 0.184, 0.483)
Pm (0.299, 0.412, 0.816)
Pm (0.816, 0.912, 0.299)
Pm (0.887, 0.299, 0.483)
Al (0.125, 0.875, 0.750)
Pm (0.596, 0.613, 0.412)
Pm (0.017, 0.404, 0.816)
Pm (0.088, 0.184, 0.201)
Pm (0.517, 0.316, 0.904)
Pm (0.983, 0.387, 0.299)
Pm (0.404, 0.017, 0.316)
Pm (0.887, 0.588, 0.904)
Pm (0.701, 0.113, 0.017)
Al (0.750, 0.375, 0.125)
N (0.375, 0.125, 0.750)
Pm (0.412, 0.113, 0.596)
N (0.000, 0.500, 0.000)
Pm (0.983, 0.596, 0.184)
Pm (0.483, 0.799, 0.887)
Pm (0.684, 0.201, 0.588)
Pm (0.912, 0.816, 0.799)
N (0.875, 0.250, 0.625)
N (0.000, 0.000, 0.000)
N (0.125, 0.750, 0.375)
Al (0.125, 0.250, 0.875)
N (0.000, 0.000, 0.500)
Pm (0.387, 0.404, 0.088)
Pm (0.113, 0.701, 0.517)
N (0.500, 0.500, 0.000)
Pm (0.613, 0.017, 0.201)
Pm (0.096, 0.912, 0.113)

Computed properties:
As for the total magnetic moment: 0.00 μB/atom. Its symmetry is Ia-3d, No. 230. The formation energy from raw total energies comes out at -0.706 eV/atom.

=====

# 6
Here is Zr2ScCo after structural relaxation from the Alexandria database. Energies are from PBE.

a b c (Å): 4.212 3.300 5.950
angles (deg): 72.44 90.00 90.00
Site moments in Bohr magnetons follow the coordinates.
Positions (direct):
Sc (0.500, 0.750, 0.750)  -0.02
Co (0.500, 0.250, 0.250)  0.46
Zr (0.000, 0.064, 0.030)  -0.04
Zr (0.000, 0.436, 0.470)  -0.04

Computed properties:
As for the total magnetic moment: 0.07 μB/atom. Its symmetry is P2/m, No. 10. The value obtained for the energy relative to the elements is 19 meV/atom.

=====

# 7
Here is Tl2Te after structural relaxation from the Alexandria database. Energies are from PBE.

a b c (Å): 7.457 7.457 6.605
angles (deg): 90.00 90.00 143.74
Positions (direct):
Tl (0.464, 0.536, 0.250)
Tl (0.220, 0.780, 0.750)
Te (0.878, 0.122, 0.750)
Te (0.122, 0.878, 0.250)
Tl (0.536, 0.464, 0.750)
Tl (0.780, 0.220, 0.250)

Computed properties:
As for the total magnetic moment: 0.00 μB/atom. Its symmetry is Cmcm, No. 63. The formation energy from raw total energies comes out at -0.226 eV/atom.

=====

# 8
Here is Li3LaGe after structural relaxation from the Alexandria database. Energies are from PBE.

a b c (Å): 5.357 5.357 5.357
angles (deg): 90.00 90.00 90.00
Site moments in Bohr magnetons follow the coordinates.
Positions (direct):
Li (0.500, 0.000, 0.000)  0.07
Li (0.000, 0.500, 0.000)  0.06
La (0.000, 0.000, 0.000)  1.01
Li (0.000, 0.000, 0.500)  0.06
Ge (0.500, 0.500, 0.500)  -0.16

Computed properties:
As for the total magnetic moment: 0.43 μB/atom. Its symmetry is Pm-3m, No. 221. The value obtained for the energy relative to the elements is 1221 meV/atom.

=====

# 9
Here is RbSmSi2O6 after structural relaxation from the Alexandria database. Energies are from PBE.

a b c (Å): 7.331 7.331 5.496
angles (deg): 97.89 97.89 88.32
Positions (direct):
O (0.627, 0.069, 0.256)
Sm (0.380, 0.620, 0.750)
Si (0.697, 0.858, 0.207)
O (0.690, 0.548, 0.646)
O (0.180, 0.163, 0.033)
O (0.931, 0.373, 0.244)
O (0.163, 0.180, 0.533)
Si (0.858, 0.697, 0.707)
O (0.837, 0.820, 0.467)
Si (0.142, 0.303, 0.293)
O (0.310, 0.452, 0.354)
O (0.548, 0.690, 0.146)
O (0.452, 0.310, 0.854)
Sm (0.620, 0.380, 0.250)
O (0.820, 0.837, 0.967)
Si (0.303, 0.142, 0.793)
O (0.373, 0.931, 0.744)
O (0.069, 0.627, 0.756)
Rb (0.826, 0.174, 0.750)
Rb (0.174, 0.826, 0.250)

Computed properties:
As for the total magnetic moment: 0.00 μB/atom. Its symmetry is C2/c, No. 15. The formation energy from raw total energies comes out at -2.846 eV/atom.

=====

# 10
Here is EuCdInHg after structural relaxation from the Alexandria database. Energies are from PBE.

a b c (Å): 5.270 5.270 5.270
angles (deg): 60.00 60.00 60.00
Site moments in Bohr magnetons follow the coordinates.
Positions (direct):
Hg (0.250, 0.250, 0.250)  -0.01
Cd (0.000, 0.000, 0.000)  -0.02
In (0.750, 0.750, 0.750)  0.00
Eu (0.500, 0.500, 0.500)  6.80

Computed properties:
As for the total magnetic moment: 1.74 μB/atom. Its symmetry is F-43m, No. 216. The value obtained for the energy relative to the elements is -344 meV/atom.

=====

| no. | ρ (g cm⁻³) |
| --- | --- |
| 1 | 9.7 |
| 2 | 10.8 |
| 3 | 10.5 |
| 4 | 7.7 |
| 5 | 6.2 |
| 6 | 6.0 |
| 7 | 8.2 |
| 8 | 2.5 |
| 9 | 4.4 |
| 10 | 9.3 |